(1)
# Y2ZnSbI, single point on PBEsol structure, DFT meta-GGA SCAN
# VASP energy in eV/atom: -28.073
# Raw formation energy in eV/atom: 0.568
data_Y2ZnSbI
_chemical_formula_sum 'Y2 Zn1 Sb1 I1'
_cell_length_a 5.546
_cell_length_b 5.546
_cell_length_c 5.713
_cell_angle_alpha 90.00
_cell_angle_beta 90.00
_cell_angle_gamma 90.00
_symmetry_space_group_name_H-M 'P 4/m m m'
_symmetry_Int_Tables_number 123
_symmetry_space_group_name_Hall '-P 4 2'
loop_
_atom_site_label
_atom_site_type_symbol
_atom_site_fract_x
_atom_site_fract_y
_atom_site_fract_z
_atom_site_occupancy
Y1 Y 0.000 0.500 0.000 1
Zn1 Zn 0.000 0.000 0.500 1
Sb1 Sb 0.500 0.500 0.500 1
I1 I 0.500 0.500 0.000 1

(2)
# YZrSb2I, single point on PBEsol structure, DFT meta-GGA SCAN
# VASP energy in eV/atom: -34.048
# Raw formation energy in eV/atom: -0.087
data_YZrSb2I
_chemical_formula_sum 'Y1 Zr1 Sb2 I1'
_cell_length_a 5.510
_cell_length_b 5.510
_cell_length_c 5.414
_cell_angle_alpha 90.00
_cell_angle_beta 90.00
_cell_angle_gamma 90.00
_symmetry_space_group_name_H-M 'P 4/m m m'
_symmetry_Int_Tables_number 123
_symmetry_space_group_name_Hall '-P 4 2'
loop_
_atom_site_label
_atom_site_type_symbol
_atom_site_fract_x
_atom_site_fract_y
_atom_site_fract_z
_atom_site_occupancy
Y1 Y 0.000 0.000 0.000 1
Zr1 Zr 0.500 0.500 0.500 1
Sb1 Sb 0.000 0.500 0.500 1
I1 I 0.500 0.500 0.000 1

(3)
# Zn2SbI, single point on PBEsol structure, DFT meta-GGA SCAN
# VASP energy in eV/atom: -25.461
# Raw formation energy in eV/atom: -0.203
data_Zn2SbI
_chemical_formula_sum 'Zn8 Sb4 I4'
_cell_length_a 6.167
_cell_length_b 6.167
_cell_length_c 12.615
_cell_angle_alpha 90.00
_cell_angle_beta 90.00
_cell_angle_gamma 90.00
_symmetry_space_group_name_H-M 'I -4 2 d'
_symmetry_Int_Tables_number 122
_symmetry_space_group_name_Hall 'I -4 2bw'
loop_
_atom_site_label
_atom_site_type_symbol
_atom_site_fract_x
_atom_site_fract_y
_atom_site_fract_z
_atom_site_occupancy
Zn1 Zn 0.208 0.250 0.125 1
Sb1 Sb 0.000 0.000 0.000 1
I1 I 0.000 0.000 0.500 1